1.
VASP calculation (PBE-GGA) on a relaxed Zr6TcRh5 crystal.

Output
total DFT energy (no corrections) = -107.1 eV/f.u.

Cell: 4.662 6.611 7.366 Å, 90.00 108.66 90.00°
Element x y z (fractional)
Rh 0.666 0.500 0.332
Rh 0.332 0.000 0.665
Rh 0.000 0.500 0.000
Rh 0.668 0.000 0.335
Rh 0.334 0.500 0.668
Tc 0.000 0.000 0.000
Zr 0.834 0.750 0.668
Zr 0.834 0.250 0.668
Zr 0.500 0.248 0.000
Zr 0.500 0.752 0.000
Zr 0.166 0.750 0.332
Zr 0.166 0.250 0.332



2.
VASP calculation (PBE-GGA) on a relaxed ZrTc4Rh crystal.

Output
total DFT energy (no corrections) = -57.5 eV/f.u.

Cell: 5.161 5.161 5.161 Å, 60.00 60.00 60.00°
Element x y z (fractional)
Zr 0.250 0.250 0.250
Tc 0.625 0.625 0.124
Tc 0.625 0.124 0.625
Tc 0.625 0.625 0.625
Tc 0.124 0.625 0.625
Rh 0.000 0.000 0.000



3.
VASP calculation (PBE-GGA) on a relaxed ZrTcRh3 crystal.

Output
energy relative to the lowest polymorph listed for this composition = 0 meV per atom
total DFT energy (no corrections) = -37.1 eV/f.u.

Cell: 4.643 4.643 4.643 Å, 90.00 90.00 90.00°
Element x y z (fractional)
Rh 0.000 0.500 0.000
Rh 0.000 0.000 0.500
Rh 0.500 0.000 0.000
Tc 0.000 0.000 0.000
Zr 0.500 0.500 0.500



Total magnetization (computed, μB/f.u.): 0.0; 0.0; 0.0